A relaxed structure of CeMnF6. Source: Alexandria, functional GGA+U.

a = 6.067 Å, b = 6.067 Å, c = 6.062 Å
α = 59.99°, β = 59.99°, γ = 60.09°
Last column: magnetic moment on the atom in μB.
Sites, in units of the cell vectors:
F 0.755 0.246 0.245  -0.01
F 0.245 0.754 0.755  -0.01
F 0.245 0.245 0.754  0.00
F 0.755 0.755 0.246  0.00
F 0.754 0.245 0.755  0.00
F 0.246 0.755 0.245  0.00
Ce 0.500 0.500 0.500  -0.19
Mn 0.000 0.000 0.000  -4.62

N(E_F)   0.000 states/eV/f.u.
Total DFT energy (no corrections)   -6.45 eV/atom
V   19.7 Å³/atom
Magnetization   5.000 Bohr magnetons per cell